The following is a DFT calculation (PBE) of an optimized crystal structure of TlCd3Sn.

Lattice parameters (Å, degrees): 4.5498 4.5498 7.3983 107.91 107.91 90.00
Sites, in units of the cell vectors:
1 Cd 0.7692 0.2692 0.5384
2 Cd 0.2692 0.7692 0.5384
3 Cd 0.4126 0.4126 0.8252
4 Sn 0.6273 0.6273 0.2547
5 Tl 0.0119 0.0119 0.0239

## Properties
**M_tot**: 0.0 μB per formula unit
**E above lowest polymorph**: 6 meV per atom
**Energy of formation from the pure elements**: 0.053 eV/atom
**Space-group type**: I4mm